## Na2Ni5O10 (PBE+U)

Data for a geometry-optimized Na2Ni5O10 structure.

a b c (Å): 4.904 6.514 7.078
angles (deg): 113.40 96.35 103.30
Site moments in Bohr magnetons follow the coordinates.
Element x y z (fractional)
1 Na 0.618 0.231 0.733  0.00
2 Na 0.382 0.769 0.267  0.00
3 Ni 0.598 0.700 0.698  0.12
4 Ni 0.000 0.500 0.500  1.03
5 Ni 0.402 0.300 0.302  0.12
6 Ni 0.800 0.098 0.103  0.88
7 Ni 0.200 0.902 0.897  0.88
8 O 0.672 0.600 0.425  -0.04
9 O 0.328 0.400 0.575  -0.04
10 O 0.693 0.182 0.367  -0.05
11 O 0.099 0.411 0.239  -0.12
12 O 0.307 0.818 0.633  -0.05
13 O 0.901 0.589 0.761  -0.12
14 O 0.119 0.001 0.173  -0.12
15 O 0.498 0.212 0.038  -0.10
16 O 0.881 0.999 0.827  -0.12
17 O 0.502 0.788 0.962  -0.10

## Properties
D(E_F)	0.31	states/eV per atom
total magnetization	2.00	Bohr magnetons per cell
final energy	-4.643	eV per atom